1.
DFT (PBE-GGA) results for TbGeBiO6 after structural relaxation.

Properties
space group = P312 (149)
E_form (uncorrected) = -1.651 eV/atom

Cell lengths 4.6032, 5.4091, 5.4091 Å; angles 120.00, 90.00, 90.00 degrees
Element x y z (fractional)
Tb 0.5000 0.6667 0.3333
Ge 0.5000 0.0000 0.0000
Bi 0.0000 0.3333 0.6667
O 0.7376 0.6934 0.7069
O 0.7376 0.2931 0.9865
O 0.7376 0.0135 0.3066
O 0.2624 0.2931 0.3066
O 0.2624 0.6934 0.9865
O 0.2624 0.0135 0.7069


2.
DFT (PBE-GGA) results for KMnAl after structural relaxation.

Properties
formation enthalpy at 0 K = 2.20 eV per formula unit
space group = P3m1 (156)

Cell lengths 5.2817, 5.2817, 2.7978 Å; angles 90.00, 90.00, 120.00 degrees
Element x y z (fractional)
K 0.6667 0.3333 0.4787
Mn 0.3333 0.6667 0.5249
Al 0.0000 0.0000 0.9964


Computed E_tot (eV per atom) in order:
-6.42; -3.94